[1]
PmVP | PBE-GGA | relaxed

Computed properties:
Space-group type: I4mm
ΔE to the lowest computed polymorph, meV per atom: 294
Uncorrected energy, eV/cell: -20.61
Mass density, Mg/m³: 6.60
Total magnetic moment, μB per cell: 0.96
ΔH_f (0 K), meV/atom: -442

a = 3.314 Å, b = 3.314 Å, c = 5.701 Å
α = 106.90°, β = 106.90°, γ = 90.00°
Each line ends with the local moment (μB).
Element x y z (fractional)
Pm: 0.617 0.617 0.234  -0.04
V: 0.327 0.327 0.654  0.96
P: 0.906 0.906 0.813  -0.04



[2]
SrPa2CoN4 | PBE-GGA | relaxed

Computed properties:
Space-group type: I-42m
Uncorrected energy, eV/cell: -67.29
Mass density, Mg/m³: 8.75
Total magnetic moment, μB per cell: 2.67
Energy relative to the elements, uncorrected, eV per atom: -0.776

a = 5.521 Å, b = 5.521 Å, c = 5.521 Å
α = 98.62°, β = 115.16°, γ = 115.16°
Each line ends with the local moment (μB).
Element x y z (fractional)
N: 0.000 0.544 0.137  0.05
N: 0.000 0.137 0.544  0.05
N: 0.407 0.863 0.863  0.05
N: 0.593 0.456 0.456  0.05
Co: 0.000 0.500 0.500  2.02
Pa: 0.500 0.250 0.750  0.11
Pa: 0.500 0.750 0.250  0.11
Sr: 0.000 0.000 0.000  0.02



[3]
TaHg2Te | PBE-GGA | relaxed

Computed properties:
Space-group type: C2/m
Uncorrected energy, eV/cell: -13.68
Mass density, Mg/m³: 12.81
Total magnetic moment, μB per cell: 0.00
Energy relative to the elements, uncorrected, eV per atom: 0.480

a = 4.715 Å, b = 6.328 Å, c = 3.486 Å
α = 73.73°, β = 90.72°, γ = 112.09°
Element x y z (fractional)
Te: 0.500 0.500 0.000
Hg: 0.500 0.000 0.500
Hg: 0.000 0.000 0.000
Ta: 0.000 0.500 0.500



[4]
NaMgB3 | PBE-GGA | relaxed

Computed properties:
Space-group type: Pm-3m
ΔE to the lowest computed polymorph, meV per atom: 0
Uncorrected energy, eV/cell: -13.03
Mass density, Mg/m³: 1.51
Total magnetic moment, μB per cell: 0.00
ΔH_f (0 K), meV/atom: 1983

a = 4.443 Å, b = 4.443 Å, c = 4.443 Å
α = 90.00°, β = 90.00°, γ = 90.00°
Element x y z (fractional)
Mg: 0.000 0.000 0.000
Na: 0.500 0.500 0.500
B: 0.000 0.000 0.500
B: 0.000 0.500 0.000
B: 0.500 0.000 0.000



[5]
Tb2ScHg | PBE-GGA | relaxed

Computed properties:
Space-group type: R-3m
ΔE to the lowest computed polymorph, meV per atom: 311
Uncorrected energy, eV/cell: -15.46
Mass density, Mg/m³: 7.87
Total magnetic moment, μB per cell: 0.00
ΔH_f (0 K), meV/atom: 108

a = 3.423 Å, b = 3.423 Å, c = 11.878 Å
α = 81.71°, β = 81.71°, γ = 60.00°
Element x y z (fractional)
Sc: 0.500 0.500 0.500
Tb: 0.909 0.909 0.272
Tb: 0.091 0.091 0.728
Hg: 0.000 0.000 0.000



[6]
Cr2ReHg | PBE-GGA | relaxed

Computed properties:
Space-group type: P4mm
Uncorrected energy, eV/cell: -30.09
Mass density, Mg/m³: 13.59
Total magnetic moment, μB per cell: 0.02
ΔH_f (0 K), meV/atom: 476

a = 3.076 Å, b = 3.076 Å, c = 6.338 Å
α = 90.00°, β = 90.00°, γ = 90.00°
Element x y z (fractional)
Cr: 0.000 0.000 0.016
Cr: 0.500 0.500 0.193
Re: 0.500 0.500 0.807
Hg: 0.000 0.000 0.485



[7]
SrHgAs2Pb | PBE-GGA | relaxed

Computed properties:
Space-group type: P4/mmm
ΔE to the lowest computed polymorph, meV per atom: 1113
Uncorrected energy, eV/cell: -11.41
Mass density, Mg/m³: 5.25
Total magnetic moment, μB per cell: 0.00
ΔH_f (0 K), meV/atom: 716

a = 5.672 Å, b = 6.345 Å, c = 5.672 Å
α = 90.00°, β = 90.00°, γ = 90.00°
Element x y z (fractional)
Sr: 0.000 0.000 0.000
As: 0.000 0.000 0.500
As: 0.500 0.000 0.000
Hg: 0.500 0.500 0.500
Pb: 0.000 0.500 0.000



[8]
LaPrNdN3 | PBE-GGA | relaxed

Computed properties:
Space-group type: P2_1/m
Uncorrected energy, eV/cell: -93.14
Mass density, Mg/m³: 7.16
Total magnetic moment, μB per cell: 0.00
Energy relative to the elements, uncorrected, eV per atom: -1.187

a = 3.580 Å, b = 6.331 Å, c = 9.631 Å
α = 97.67°, β = 90.00°, γ = 90.00°
Element x y z (fractional)
N: 0.750 0.222 0.478
N: 0.250 0.475 0.828
N: 0.750 0.525 0.172
N: 0.750 0.024 0.153
N: 0.250 0.778 0.522
N: 0.250 0.976 0.847
La: 0.750 0.698 0.720
La: 0.250 0.302 0.280
Nd: 0.750 0.825 0.371
Nd: 0.250 0.175 0.629
Pr: 0.750 0.236 0.948
Pr: 0.250 0.764 0.052